This record from the Alexandria database describes a geometry-optimized HfTi5Bi6 structure. The functional is PBE-GGA.

Cell: 7.1437 12.0947 7.1332 Å, 90.00 107.29 90.00°
Space group C2/m (No. 12)
Inequivalent atoms, fractional coordinates:
Hf (0.0000, 0.0000, 0.0000)
Ti (0.0000, 0.1246, 0.5000)
Ti (0.0000, 0.3065, 0.0000)
Ti (0.0000, 0.5000, 0.5000)
Bi (0.2081, 0.5000, 0.2138)
Bi (0.2317, 0.3270, 0.7254)

Properties
**Calculated formation energy**: 0.04 eV/atom
**D(E_F)**: 0.762 states/eV/atom
**Electronic total energy**: -6.023 eV per atom

=====

This record from the Alexandria database describes a geometry-optimized Hf3Ti9Bi2 structure. The functional is PBE-GGA.

Cell: 3.8184 12.0236 12.2086 Å, 90.00 90.00 90.00°
Space group Immm (No. 71)
Inequivalent atoms, fractional coordinates:
Hf (0.0000, 0.0000, 0.0000)
Hf (0.0000, 0.0000, 0.2864)
Ti (0.0000, 0.2774, 0.1734)
Ti (0.0000, 0.3867, 0.3648)
Ti (0.0000, 0.5000, 0.0000)
Bi (0.0000, 0.1722, 0.5000)

Properties
**Calculated formation energy**: 0.08 eV/atom
**D(E_F)**: 0.996 states/eV/atom
**Electronic total energy**: -7.681 eV per atom

=====

This record from the Alexandria database describes a geometry-optimized HfTi2Bi2 structure. The functional is PBE-GGA.

Cell: 7.8255 7.8255 3.5834 Å, 90.00 90.00 90.00°
Space group P4/mbm (No. 127)
Inequivalent atoms, fractional coordinates:
Hf (0.0000, 0.0000, 0.0000)
Ti (0.1436, 0.3564, 0.5000)
Bi (0.1511, 0.6511, 0.0000)

Properties
**Calculated formation energy**: -0.02 eV/atom
**D(E_F)**: 0.618 states/eV/atom
**Electronic total energy**: -6.720 eV per atom

=====

This record from the Alexandria database describes a geometry-optimized Hf5Ti3Bi structure. The functional is PBE-GGA.

Cell: 10.1885 9.8062 9.1115 Å, 90.00 107.73 90.00°
Space group C2/m (No. 12)
Inequivalent atoms, fractional coordinates:
Hf (0.0000, 0.2395, 0.0000)
Hf (0.0674, 0.2429, 0.3621)
Hf (0.2298, 0.5000, 0.5682)
Hf (0.2501, 0.0000, 0.0974)
Ti (0.0000, 0.0000, 0.5000)
Ti (0.0000, 0.5000, 0.0000)
Ti (0.0033, 0.5000, 0.6982)
Ti (0.0058, 0.0000, 0.1661)
Bi (0.2439, 0.0000, 0.7575)

Properties
**Calculated formation energy**: 0.60 eV/atom
**D(E_F)**: 1.254 states/eV/atom
**Electronic total energy**: -7.988 eV per atom

=====

This record from the Alexandria database describes a geometry-optimized HfTi4Bi2 structure. The functional is PBE-GGA.

Cell: 7.3758 5.4490 8.1049 Å, 90.00 114.58 90.00°
Space group P2_1/m (No. 11)
Inequivalent atoms, fractional coordinates:
Hf (0.1918, 0.2500, 0.4910)
Ti (0.0387, 0.2500, 0.0875)
Ti (0.3006, 0.0023, 0.8828)
Ti (0.3807, 0.7500, 0.1908)
Bi (0.0711, 0.7500, 0.3073)
Bi (0.4844, 0.2500, 0.3001)

Properties
**Calculated formation energy**: 0.02 eV/atom
**D(E_F)**: 1.090 states/eV/atom
**Electronic total energy**: -7.017 eV per atom

=====

This record from the Alexandria database describes a geometry-optimized HfTi4Bi structure. The functional is PBE-GGA.

Cell: 6.9941 7.3565 18.1634 Å, 90.00 90.00 90.00°
Space group Fmmm (No. 69)
Inequivalent atoms, fractional coordinates:
Hf (0.0000, 0.2185, 0.0000)
Ti (0.0000, 0.2428, 0.1639)
Ti (0.2169, 0.0000, 0.4181)
Bi (0.2500, 0.0000, 0.2500)

Properties
**Calculated formation energy**: -0.03 eV/atom
**D(E_F)**: 1.100 states/eV/atom
**Electronic total energy**: -7.595 eV per atom

=====

This record from the Alexandria database describes a geometry-optimized Hf3TiBi structure. The functional is PBE-GGA.

Cell: 5.3042 5.3042 5.3042 Å, 90.00 90.00 90.00°
Space group Pm-3m (No. 221)
Inequivalent atoms, fractional coordinates:
Hf (0.0000, 0.0000, 0.5000)
Ti (0.5000, 0.5000, 0.5000)
Bi (0.0000, 0.0000, 0.0000)

Properties
**Calculated formation energy**: 1.43 eV/atom
**D(E_F)**: 1.130 states/eV/atom
**Electronic total energy**: -6.896 eV per atom

=====

This record from the Alexandria database describes a geometry-optimized Hf2TiBi structure. The functional is PBE-GGA.

Cell: 7.9902 7.9902 5.8833 Å, 90.00 90.00 90.00°
Space group I-42d (No. 122)
Inequivalent atoms, fractional coordinates:
Hf (0.2419, 0.2500, 0.1250)
Ti (0.0000, 0.0000, 0.0000)
Bi (0.0000, 0.0000, 0.5000)

Properties
**Calculated formation energy**: 0.49 eV/atom
**D(E_F)**: 1.062 states/eV/atom
**Electronic total energy**: -7.429 eV per atom

=====

This record from the Alexandria database describes a geometry-optimized Hf3TiBi structure. The functional is PBE-GGA.

Cell: 12.1377 9.7540 8.7457 Å, 90.00 121.35 90.00°
Space group C2/c (No. 15)
Inequivalent atoms, fractional coordinates:
Hf (0.1391, 0.1605, 0.1320)
Hf (0.1787, 0.1479, 0.5483)
Hf (0.2006, 0.4384, 0.0644)
Ti (0.0845, 0.3432, 0.6970)
Bi (0.0000, 0.0626, 0.7500)
Bi (0.0000, 0.3724, 0.2500)

Properties
**Calculated formation energy**: 0.06 eV/atom
**D(E_F)**: 0.923 states/eV/atom
**Electronic total energy**: -8.263 eV per atom

=====

This record from the Alexandria database describes a geometry-optimized Hf2Ti2Bi structure. The functional is PBE-GGA.

Cell: 7.2924 7.2924 3.9724 Å, 90.00 90.00 90.00°
Space group P4/mbm (No. 127)
Inequivalent atoms, fractional coordinates:
Hf (0.1664, 0.3336, 0.0000)
Ti (0.1273, 0.6273, 0.5000)
Bi (0.0000, 0.0000, 0.5000)

Properties
**Calculated formation energy**: 0.04 eV/atom
**D(E_F)**: 1.454 states/eV/atom
**Electronic total energy**: -7.874 eV per atom

=====

This record from the Alexandria database describes a geometry-optimized HfTi6Bi3 structure. The functional is PBE-GGA.

Cell: 10.7820 10.9631 7.3376 Å, 90.00 90.00 90.00°
Space group Cmc2_1 (No. 36)
Inequivalent atoms, fractional coordinates:
Hf (0.0000, 0.2403, 0.0000)
Ti (0.0000, 0.0084, 0.7119)
Ti (0.0000, 0.2060, 0.3769)
Ti (0.1317, 0.4044, 0.2853)
Ti (0.2420, 0.1907, 0.1365)
Bi (0.0000, 0.3879, 0.6435)
Bi (0.2062, 0.0618, 0.4784)

Properties
**Calculated formation energy**: 0.05 eV/atom
**D(E_F)**: 1.035 states/eV/atom
**Electronic total energy**: -6.842 eV per atom

=====

This record from the Alexandria database describes a geometry-optimized HfTi2Bi2 structure. The functional is PBE-GGA.

Cell: 4.8382 7.0864 15.5722 Å, 90.00 90.00 90.00°
Space group Imma (No. 74)
Inequivalent atoms, fractional coordinates:
Hf (0.0000, 0.2500, 0.1896)
Ti (0.0000, 0.0659, 0.6969)
Bi (0.0000, 0.2500, 0.4231)
Bi (0.0000, 0.2500, 0.8753)

Properties
**Calculated formation energy**: -0.02 eV/atom
**D(E_F)**: 0.645 states/eV/atom
**Electronic total energy**: -6.720 eV per atom

=====

This record from the Alexandria database describes a geometry-optimized HfTi2Bi structure. The functional is PBE-GGA.

Cell: 4.6951 9.6232 7.8977 Å, 90.00 90.00 90.00°
Space group Cmcm (No. 63)
Inequivalent atoms, fractional coordinates:
Hf (0.0000, 0.0895, 0.2500)
Ti (0.0000, 0.2610, 0.5784)
Bi (0.0000, 0.4016, 0.2500)

Properties
**Calculated formation energy**: 0.28 eV/atom
**D(E_F)**: 1.213 states/eV/atom
**Electronic total energy**: -7.126 eV per atom

=====

This record from the Alexandria database describes a geometry-optimized Hf3Ti6Bi structure. The functional is PBE-GGA.

Cell: 7.3994 7.3994 13.8540 Å, 90.00 90.00 120.00°
Space group R3m (No. 160, hexagonal axes)
Inequivalent atoms, fractional coordinates:
Hf (0.0745, 0.5372, 0.0000)
Ti (0.0511, 0.5256, 0.8000)
Ti (0.2130, 0.4261, 0.6091)
Bi (0.0000, 0.0000, 0.7649)

Properties
**Calculated formation energy**: 0.65 eV/atom
**D(E_F)**: 1.574 states/eV/atom
**Electronic total energy**: -7.463 eV per atom

=====

This record from the Alexandria database describes a geometry-optimized Hf8Ti3Bi2 structure. The functional is PBE-GGA.

Cell: 9.0138 15.2725 4.6152 Å, 90.00 90.00 90.00°
Space group Cmmm (No. 65)
Inequivalent atoms, fractional coordinates:
Hf (0.0000, 0.0992, 0.0000)
Hf (0.0000, 0.3639, 0.0000)
Hf (0.2396, 0.1056, 0.5000)
Ti (0.0000, 0.5000, 0.5000)
Ti (0.2079, 0.5000, 0.0000)
Bi (0.0000, 0.2435, 0.5000)

Properties
**Calculated formation energy**: 0.23 eV/atom
**D(E_F)**: 0.972 states/eV/atom
**Electronic total energy**: -8.313 eV per atom

=====

This record from the Alexandria database describes a geometry-optimized HfTi3Bi3 structure. The functional is PBE-GGA.

Cell: 8.0162 8.0162 18.3045 Å, 90.00 90.00 120.00°
Space group R-3 (No. 148, hexagonal axes)
Inequivalent atoms, fractional coordinates:
Hf (0.0000, 0.0000, 0.1615)
Ti (0.0037, 0.2382, 0.5560)
Bi (0.0109, 0.4062, 0.4026)

Properties
**Calculated formation energy**: -0.08 eV/atom
**D(E_F)**: 0.573 states/eV/atom
**Electronic total energy**: -6.547 eV per atom

=====

This record from the Alexandria database describes a geometry-optimized Hf2Ti2Bi structure. The functional is PBE-GGA.

Cell: 5.0560 7.0937 6.3258 Å, 90.00 90.00 90.00°
Space group Cmmm (No. 65)
Inequivalent atoms, fractional coordinates:
Hf (0.0000, 0.0000, 0.2319)
Ti (0.0000, 0.3455, 0.0000)
Bi (0.0000, 0.5000, 0.5000)

Properties
**Calculated formation energy**: 0.21 eV/atom
**D(E_F)**: 1.024 states/eV/atom
**Electronic total energy**: -7.703 eV per atom

=====

This record from the Alexandria database describes a geometry-optimized Hf2TiBi structure. The functional is PBE-GGA.

Cell: 3.2792 3.2792 29.2027 Å, 90.00 90.00 120.00°
Space group R-3m (No. 166, hexagonal axes)
Inequivalent atoms, fractional coordinates:
Hf (0.0000, 0.0000, 0.2452)
Ti (0.0000, 0.0000, 0.5000)
Bi (0.0000, 0.0000, 0.0000)

Properties
**Calculated formation energy**: 0.14 eV/atom
**D(E_F)**: 0.955 states/eV/atom
**Electronic total energy**: -7.784 eV per atom

=====

This record from the Alexandria database describes a geometry-optimized Hf2Ti4Bi3 structure. The functional is PBE-GGA.

Cell: 14.1752 10.1975 5.2833 Å, 90.00 99.42 90.00°
Space group C2/c (No. 15)
Inequivalent atoms, fractional coordinates:
Hf (0.2202, 0.1206, 0.3624)
Ti (0.0540, 0.3742, 0.5334)
Ti (0.1095, 0.1281, 0.7970)
Bi (0.0000, 0.1237, 0.2500)
Bi (0.1602, 0.3734, 0.0785)

Properties
**Calculated formation energy**: -0.13 eV/atom
**D(E_F)**: 0.888 states/eV/atom
**Electronic total energy**: -7.145 eV per atom

=====

This record from the Alexandria database describes a geometry-optimized Hf12TiBi6 structure. The functional is PBE-GGA.

Cell: 10.9818 10.9818 12.7558 Å, 90.00 90.00 120.00°
Space group R-3 (No. 148, hexagonal axes)
Inequivalent atoms, fractional coordinates:
Hf (0.0447, 0.1781, 0.3121)
Hf (0.0612, 0.8570, 0.9090)
Ti (0.0000, 0.0000, 0.5000)
Bi (0.0232, 0.4298, 0.2131)

Properties
**Calculated formation energy**: 0.06 eV/atom
**D(E_F)**: 0.859 states/eV/atom
**Electronic total energy**: -7.867 eV per atom